(1)
First-principles (PBE) data for a relaxed structure of Dy2ThIn3, as listed in the Alexandria database.

Computed properties:
Symmetry   P4/mmm, No. 123

Lattice parameters (Å, degrees): 3.535 3.535 13.070 90.00 90.00 90.00
Fractional coordinates of all 6 atoms:
Dy1 0.000 0.000 0.162
Dy2 0.000 0.000 0.838
Th1 0.000 0.000 0.500
In1 0.500 0.500 0.000
In2 0.500 0.500 0.325
In3 0.500 0.500 0.675

=====

(2)
First-principles (PBE) data for a relaxed structure of DyTh2In, as listed in the Alexandria database.

Computed properties:
Symmetry   P2_1/m, No. 11
Energy above the most stable polymorph in this dataset   12.22 kJ per mole of atoms

Lattice parameters (Å, degrees): 6.056 5.739 6.884 90.00 90.80 90.00
Fractional coordinates of all 8 atoms:
Dy1 0.112 0.250 0.373
Dy2 0.888 0.750 0.627
Th1 0.090 0.250 0.867
Th2 0.398 0.750 0.889
Th3 0.602 0.250 0.111
Th4 0.910 0.750 0.133
In1 0.404 0.750 0.388
In2 0.596 0.250 0.612

=====

(3)
First-principles (PBE) data for a relaxed structure of Dy2Th2In, as listed in the Alexandria database.

Computed properties:
Symmetry   I4/mmm, No. 139

Lattice parameters (Å, degrees): 8.938 8.938 8.938 150.94 150.94 41.57
Fractional coordinates of all 5 atoms:
Dy1 0.091 0.091 0.000
Dy2 0.909 0.909 0.000
Th1 0.250 0.750 0.500
Th2 0.750 0.250 0.500
In1 0.500 0.500 0.000

=====

(4)
First-principles (PBE) data for a relaxed structure of DyTh2In3, as listed in the Alexandria database.

Computed properties:
Symmetry   P4/mmm, No. 123
Energy above the most stable polymorph in this dataset   0.00 kJ per mole of atoms

Lattice parameters (Å, degrees): 3.524 3.524 13.489 90.00 90.00 90.00
Fractional coordinates of all 6 atoms:
Dy1 0.000 0.000 0.000
Th1 0.000 0.000 0.329
Th2 0.000 0.000 0.671
In1 0.500 0.500 0.158
In2 0.500 0.500 0.500
In3 0.500 0.500 0.842

=====

(5)
First-principles (PBE) data for a relaxed structure of DyTh2In, as listed in the Alexandria database.

Computed properties:
Symmetry   P4/mmm, No. 123
Energy above the most stable polymorph in this dataset   12.84 kJ per mole of atoms

Lattice parameters (Å, degrees): 3.490 3.490 10.088 90.00 90.00 90.00
Fractional coordinates of all 4 atoms:
Dy1 0.000 0.000 0.000
Th1 0.500 0.500 0.264
Th2 0.500 0.500 0.736
In1 0.000 0.000 0.500

=====

(6)
First-principles (PBE) data for a relaxed structure of Dy2ThIn, as listed in the Alexandria database.

Computed properties:
Symmetry   P4/mmm, No. 123
Energy above the most stable polymorph in this dataset   3.56 kJ per mole of atoms

Lattice parameters (Å, degrees): 4.916 4.916 4.803 90.00 90.00 90.00
Fractional coordinates of all 4 atoms:
Dy1 0.000 0.500 0.000
Dy2 0.500 0.000 0.000
Th1 0.000 0.000 0.500
In1 0.500 0.500 0.500

=====

(7)
First-principles (PBE) data for a relaxed structure of Dy7ThIn4, as listed in the Alexandria database.

Computed properties:
Symmetry   C2/m, No. 12

Lattice parameters (Å, degrees): 7.794 7.794 10.215 120.43 120.43 43.37
Fractional coordinates of all 12 atoms:
Dy1 0.000 0.000 0.000
Dy2 0.228 0.228 0.672
Dy3 0.293 0.293 0.119
Dy4 0.435 0.435 0.603
Dy5 0.565 0.565 0.397
Dy6 0.707 0.707 0.881
Dy7 0.772 0.772 0.328
Th1 0.500 0.500 0.000
In1 0.056 0.056 0.746
In2 0.183 0.183 0.336
In3 0.817 0.817 0.664
In4 0.944 0.944 0.254

=====

(8)
First-principles (PBE) data for a relaxed structure of Dy3ThIn, as listed in the Alexandria database.

Computed properties:
Symmetry   Cmcm, No. 63
Energy above the most stable polymorph in this dataset   0.00 kJ per mole of atoms

Lattice parameters (Å, degrees): 12.816 12.816 4.832 90.00 90.00 158.04
Fractional coordinates of all 10 atoms:
Dy1 0.051 0.949 0.750
Dy2 0.251 0.749 0.750
Dy3 0.447 0.553 0.750
Dy4 0.553 0.447 0.250
Dy5 0.749 0.251 0.250
Dy6 0.949 0.051 0.250
Th1 0.150 0.850 0.250
Th2 0.850 0.150 0.750
In1 0.348 0.652 0.250
In2 0.652 0.348 0.750

=====

no.,calculated formation energy (eV per atom),uncorrected energy (eV/cell)
1,-0.40,-27.3
2,-0.06,-44.9
3,0.43,-24.7
4,-0.34,-29.7
5,-0.06,-22.4
6,-0.21,-20.2
7,-0.06,-51.3
8,-0.13,-49.2